--- i ---
## Tb3Dy8Tm3 (GGA-PBE)

Data for a relaxed Tb3Dy8Tm3 crystal.

abc: 5.5750 9.5478 9.5478
angles: 101.65 73.03 73.03
Atoms (fractional coordinates):
Tb1 0.5000 0.0000 0.0000
Tb2 0.0000 0.8194 0.1806
Tb3 0.0000 0.1806 0.8194
Dy1 0.6587 0.1192 0.5631
Dy2 0.3413 0.8808 0.4369
Dy3 0.6587 0.5631 0.1192
Dy4 0.3413 0.4369 0.8808
Dy5 0.8410 0.7623 0.5558
Dy6 0.1590 0.2377 0.4442
Dy7 0.8410 0.5558 0.7623
Dy8 0.1590 0.4442 0.2377
Tm1 0.5000 0.5000 0.5000
Tm2 0.7973 0.2028 0.2028
Tm3 0.2027 0.7972 0.7972

Calculated values
Fermi-level density of states: 1.484 states/eV per atom


--- ii ---
## Tb3Dy8Tm3 (GGA-PBE)

Data for a relaxed Tb3Dy8Tm3 crystal.

abc: 5.5638 9.5553 9.5553
angles: 101.85 73.07 73.07
Atoms (fractional coordinates):
Tb1 0.5000 0.5000 0.5000
Tb2 0.8002 0.1998 0.1998
Tb3 0.1998 0.8002 0.8002
Dy1 0.6583 0.1189 0.5644
Dy2 0.3417 0.8811 0.4356
Dy3 0.6583 0.5644 0.1189
Dy4 0.3417 0.4356 0.8811
Dy5 0.8405 0.7634 0.5557
Dy6 0.1595 0.2366 0.4443
Dy7 0.8405 0.5557 0.7634
Dy8 0.1595 0.4443 0.2366
Tm1 0.5000 0.0000 0.0000
Tm2 0.0000 0.8175 0.1825
Tm3 0.0000 0.1825 0.8175

Calculated values
Fermi-level density of states: 1.379 states/eV per atom


Stability ranking, top and bottom: i is the most stable and ii is the least stable.


--- i ---
## Tb12DyTm6 (GGA-PBE)

Data for a relaxed Tb12DyTm6 crystal.

abc: 9.0475 9.0475 9.0475
angles: 106.51 106.51 106.51
Atoms (fractional coordinates):
Tb1 0.4819 0.1913 0.5786
Tb2 0.1913 0.5786 0.4819
Tb3 0.5786 0.4819 0.1913
Tb4 0.5181 0.8087 0.4214
Tb5 0.8087 0.4214 0.5181
Tb6 0.4214 0.5181 0.8087
Tb7 0.2785 0.1385 0.8276
Tb8 0.1724 0.7215 0.8615
Tb9 0.8615 0.1724 0.7215
Tb10 0.7215 0.8615 0.1724
Tb11 0.8276 0.2785 0.1385
Tb12 0.1385 0.8276 0.2785
Dy1 0.0000 0.0000 0.0000
Tm1 0.0752 0.1875 0.4566
Tm2 0.8125 0.5434 0.9248
Tm3 0.5434 0.9248 0.8125
Tm4 0.9248 0.8125 0.5434
Tm5 0.1875 0.4566 0.0752
Tm6 0.4566 0.0752 0.1875

Calculated values
Fermi-level density of states: 1.530 states/eV per atom


--- ii ---
## Tb12DyTm6 (GGA-PBE)

Data for a relaxed Tb12DyTm6 crystal.

abc: 8.4723 8.4723 8.4723
angles: 88.46 88.46 88.46
Atoms (fractional coordinates):
Tb1 0.7769 0.5411 0.4340
Tb2 0.4340 0.7769 0.5411
Tb3 0.5411 0.4340 0.7769
Tb4 0.2231 0.4589 0.5660
Tb5 0.5660 0.2231 0.4589
Tb6 0.4589 0.5660 0.2231
Tb7 0.0123 0.2019 0.3591
Tb8 0.7981 0.6409 0.9877
Tb9 0.6409 0.9877 0.7981
Tb10 0.9877 0.7981 0.6409
Tb11 0.2019 0.3591 0.0123
Tb12 0.3591 0.0123 0.2019
Dy1 0.0000 0.0000 0.0000
Tm1 0.7421 0.9044 0.3053
Tm2 0.6947 0.2579 0.0956
Tm3 0.0956 0.6947 0.2579
Tm4 0.2579 0.0956 0.6947
Tm5 0.3053 0.7421 0.9044
Tm6 0.9044 0.3053 0.7421

Calculated values
Fermi-level density of states: 1.771 states/eV per atom


Stability ranking, top and bottom: ii is the most stable and i is the least stable.